VASP calculation (PBE) on a relaxed structure of LiPmTm2Hg4.

```
LiPmTm2Hg4
1.0
2.545 1.470 8.709
-2.545 1.470 8.709
0.000 -2.939 8.709
Li Pm Tm Hg
1 1 2 4
direct
0.000 0.000 0.000 Li
0.500 0.500 0.500 Pm
0.257 0.257 0.257 Tm
0.743 0.743 0.743 Tm
0.116 0.116 0.116 Hg
0.373 0.373 0.373 Hg
0.627 0.627 0.627 Hg
0.884 0.884 0.884 Hg
```

Summary:
Calculated formation energy   -0.44 eV per atom
Magnetic moment   0.00 μB per formula unit
D(E_F)   0.811 states/eV/atom
E   -20.317 eV for the cell shown